# 1
The following is a PBE calculation of a geometry-optimized BaCuP2 structure, from Alexandria.

The structure in POSCAR format:
```
BaCuP2
1.0
5.365 0.001 0.000
1.550 5.136 0.000
-3.458 -2.569 3.199
Ba P Cu
1 2 1
direct
0.500 0.500 0.000
0.000 0.000 0.000
0.250 0.750 0.500
0.750 0.250 0.500
```

Summary:
Its density of states at the Fermi level is 2.99 states/eV/f.u. As for the symmetry: No. 119. The calculated formation energy is 0.3033 eV/atom.

# 2
The following is a PBE calculation of a geometry-optimized LaScTa2 structure, from Alexandria.

The structure in POSCAR format:
```
LaScTa2
1.0
8.023 0.000 0.000
0.000 8.023 0.000
4.011 4.011 2.921
Sc La Ta
2 2 4
direct
0.250 0.750 0.500
0.500 0.500 0.000
0.750 0.250 0.500
0.000 0.000 0.000
0.375 0.388 0.750
0.612 0.125 0.250
0.875 0.862 0.750
0.138 0.625 0.250
```

Summary:
Its density of states at the Fermi level is 4.35 states/eV/f.u. As for the symmetry: No. 122. The calculated formation energy is 0.9838 eV/atom. The calculation puts the relative energy among the computed polymorphs at 777 meV per atom.

# 3
The following is a PBE calculation of a geometry-optimized NdY2ScBi4 structure, from Alexandria.

The structure in POSCAR format:
```
NdY2ScBi4
1.0
-2.058 -3.676 1.497
4.162 0.320 6.508
-6.544 4.037 0.917
Bi Sc Y Nd
4 1 2 1
direct
0.000 0.263 0.757
0.000 0.737 0.243
0.500 0.739 0.749
0.500 0.261 0.251
0.500 0.500 0.000
0.000 0.500 0.500
0.500 0.000 0.500
0.000 0.000 0.000
```

Summary:
Its density of states at the Fermi level is 1.33 states/eV/f.u. As for the symmetry: No. 10. The calculated formation energy is -0.8291 eV/atom.